Compound: Rb3Ce3MgO8
Source: Alexandria
Functional: PBE-GGA
Structure: optimized geometry Values from VASP.

Geometry as Quantum ESPRESSO input:
```
&SYSTEM
  ibrav = 0, nat = 15, ntyp = 4
/
ATOMIC_SPECIES
Rb 85.47 Rb.upf
Ce 140.12 Ce.upf
Mg 24.30 Mg.upf
O 16.00 O.upf
CELL_PARAMETERS angstrom
-2.042 2.631 6.200
3.193 -6.266 -0.284
4.401 6.252 -1.204
ATOMIC_POSITIONS crystal
Rb 0.000 0.000 0.000
Rb 0.000 0.500 0.000
Rb 0.500 0.500 0.000
Ce 0.500 0.000 0.500
Ce 0.500 0.500 0.500
Ce 0.000 0.500 0.500
Mg 0.000 0.000 0.500
O 0.274 0.547 0.321
O 0.726 0.453 0.679
O 0.782 0.563 0.338
O 0.218 0.437 0.662
O 0.782 0.056 0.338
O 0.218 0.944 0.662
O 0.275 0.056 0.338
O 0.725 0.944 0.662
```

Output
- energy relative to the elements, uncorrected (eV per atom) = -2.633
- magnetization (μB/f.u.) = 1.09
- raw total energy (eV/atom) = -6.7639
- Fermi-level density of states (states/eV per cell) = 6.9
- space-group type = No. 166